A geometry-optimized LaTiVO6 structure. Source: the Alexandria database, functional PBE with a Hubbard U.

Structure (extended XYZ):
```
9
Lattice="5.1244 0.0000 0.0000 -2.5622 4.4379 0.0000 0.0000 0.0000 5.2043" Properties=species:S:1:pos:R:3 pbc="T T T"
La 0.0000 0.0000 0.0000
Ti 0.0000 2.9586 2.8692
V 2.5622 1.4793 2.4579
O 1.9206 0.0427 3.7482
O 0.9985 1.6445 1.5768
O 3.2010 0.0425 1.5768
O 1.6389 2.7532 3.7482
O 4.1271 1.6419 3.7482
O 3.4871 2.7509 1.5768
```

M_tot	0.000	μB per atom
uncorrected energy	-74.998	eV per cell
SG	P3 (143)